Record 1
A relaxed structure of LiCa2Pt, computed with PBE.

Values from the calculation:
ΔE_f in eV per atom: -0.389
Space-group type: No. 99

a b c (Å): 3.575 3.575 7.815
angles (deg): 90.00 90.00 90.00
Fractional positions:
Ca 0.500 0.500 0.316
Ca 0.000 0.000 0.917
Pt 0.500 0.500 0.696
Li 0.000 0.000 0.571

=====

Record 2
A relaxed structure of RbV2TcIr, computed with PBE.

Values from the calculation:
ΔE_f in eV per atom: 1.797
Space-group type: No. 123

a b c (Å): 4.783 5.801 4.783
angles (deg): 90.00 90.00 90.00
Fractional positions:
Rb 0.000 0.500 0.000
V 0.500 0.000 0.000
V 0.000 0.000 0.500
Tc 0.500 0.500 0.500
Ir 0.000 0.000 0.000

=====

Record 3
A relaxed structure of Li3Ga2H8, computed with PBE.

Values from the calculation:
Space-group type: No. 12
E in eV for the cell shown: -39.3

a b c (Å): 4.998 5.837 5.650
angles (deg): 58.90 65.84 90.00
Fractional positions:
Li 0.500 0.749 0.000
Li 0.000 0.000 0.000
Li 0.500 0.251 0.000
H 0.745 0.127 0.274
H 0.255 0.873 0.726
H 0.255 0.400 0.726
H 0.207 0.378 0.244
H 0.235 0.892 0.216
H 0.765 0.108 0.784
H 0.793 0.622 0.756
H 0.745 0.600 0.274
Ga 0.830 0.300 0.399
Ga 0.170 0.700 0.601

=====

Total magnetic moment values (in Bohr magnetons per cell) by entry order: 0.00, 1.21, 0.00.